1.
## NaGaHBr2 (PBE)

Data for a relaxed structure of NaGaHBr2.

Summary:
D(E_F): 1.2 states/eV/f.u.
Total magnetization: 0.0 μB/f.u.
VASP energy: -2.888 eV/atom
ρ: 3.7 g/cm3

a = 5.5613 Å, b = 5.5613 Å, c = 3.6927 Å
α = 90.00°, β = 90.00°, γ = 90.00°
With the nearest neighbours (Å) after each atom.
Sites, in units of the cell vectors:
1 Na 0.0000 0.0000 0.0000  8 Br 3.34, 2 Na 3.69
2 Ga 0.5000 0.5000 0.5000  2 H 1.85
3 H 0.5000 0.5000 0.0000  2 Ga 1.85
4 Br 0.0000 0.5000 0.5000  2 Ga 2.78
5 Br 0.5000 0.0000 0.5000  2 Ga 2.78

2.
## SrInPbS2 (PBE)

Data for a relaxed structure of SrInPbS2.

Summary:
D(E_F): 4.6 states/eV/f.u.
ΔE_f (raw): -217 meV/atom
Total magnetization: 0.0 μB/f.u.
VASP energy: -3.493 eV/atom
ρ: 5.2 g/cm3

a = 5.2715 Å, b = 5.2715 Å, c = 5.4954 Å
α = 90.00°, β = 90.00°, γ = 90.00°
With the nearest neighbours (Å) after each atom.
Sites, in units of the cell vectors:
1 Sr 0.0000 0.0000 0.0000  4 Pb 3.73, 8 S 3.81
2 In 0.5000 0.5000 0.5000  4 S 2.64, 2 Pb 2.75
3 Pb 0.5000 0.5000 0.0000  2 In 2.75
4 S 0.0000 0.5000 0.5000  2 In 2.64
5 S 0.5000 0.0000 0.5000  2 In 2.64

3.
## Pr2SmMgN (PBE)

Data for a relaxed structure of Pr2SmMgN.

Summary:
D(E_F): 5.7 states/eV/f.u.
ΔE_f (raw): -585 meV/atom
Total magnetization: 0.0 μB/f.u.
VASP energy: -5.425 eV/atom
ρ: 5.9 g/cm3

a = 5.1509 Å, b = 5.1509 Å, c = 4.9630 Å
α = 90.00°, β = 90.00°, γ = 90.00°
With the nearest neighbours (Å) after each atom.
Sites, in units of the cell vectors:
1 Pr 0.0000 0.5000 0.0000  2 N 2.58
2 Pr 0.5000 0.0000 0.0000  2 N 2.58
3 Sm 0.0000 0.0000 0.5000  2 N 2.48
4 Mg 0.5000 0.5000 0.5000  8 Pr 3.58, 4 Sm 3.64
5 N 0.0000 0.0000 0.0000  2 Sm 2.48, 4 Pr 2.58

Repeat the third record exactly.
## Pr2SmMgN (PBE)

Data for a relaxed structure of Pr2SmMgN.

Summary:
D(E_F): 5.7 states/eV/f.u.
ΔE_f (raw): -585 meV/atom
Total magnetization: 0.0 μB/f.u.
VASP energy: -5.425 eV/atom
ρ: 5.9 g/cm3

a = 5.1509 Å, b = 5.1509 Å, c = 4.9630 Å
α = 90.00°, β = 90.00°, γ = 90.00°
With the nearest neighbours (Å) after each atom.
Sites, in units of the cell vectors:
1 Pr 0.0000 0.5000 0.0000  2 N 2.58
2 Pr 0.5000 0.0000 0.0000  2 N 2.58
3 Sm 0.0000 0.0000 0.5000  2 N 2.48
4 Mg 0.5000 0.5000 0.5000  8 Pr 3.58, 4 Sm 3.64
5 N 0.0000 0.0000 0.0000  2 Sm 2.48, 4 Pr 2.58

> Look up the total magnetization of the second one.

0.0 μB/f.u.

Repeat the first record exactly.
## NaGaHBr2 (PBE)

Data for a relaxed structure of NaGaHBr2.

Summary:
D(E_F): 1.2 states/eV/f.u.
Total magnetization: 0.0 μB/f.u.
VASP energy: -2.888 eV/atom
ρ: 3.7 g/cm3

a = 5.5613 Å, b = 5.5613 Å, c = 3.6927 Å
α = 90.00°, β = 90.00°, γ = 90.00°
With the nearest neighbours (Å) after each atom.
Sites, in units of the cell vectors:
1 Na 0.0000 0.0000 0.0000  8 Br 3.34, 2 Na 3.69
2 Ga 0.5000 0.5000 0.5000  2 H 1.85
3 H 0.5000 0.5000 0.0000  2 Ga 1.85
4 Br 0.0000 0.5000 0.5000  2 Ga 2.78
5 Br 0.5000 0.0000 0.5000  2 Ga 2.78

Please write out number 3 again, unchanged.
## Pr2SmMgN (PBE)

Data for a relaxed structure of Pr2SmMgN.

Summary:
D(E_F): 5.7 states/eV/f.u.
ΔE_f (raw): -585 meV/atom
Total magnetization: 0.0 μB/f.u.
VASP energy: -5.425 eV/atom
ρ: 5.9 g/cm3

a = 5.1509 Å, b = 5.1509 Å, c = 4.9630 Å
α = 90.00°, β = 90.00°, γ = 90.00°
With the nearest neighbours (Å) after each atom.
Sites, in units of the cell vectors:
1 Pr 0.0000 0.5000 0.0000  2 N 2.58
2 Pr 0.5000 0.0000 0.0000  2 N 2.58
3 Sm 0.0000 0.0000 0.5000  2 N 2.48
4 Mg 0.5000 0.5000 0.5000  8 Pr 3.58, 4 Sm 3.64
5 N 0.0000 0.0000 0.0000  2 Sm 2.48, 4 Pr 2.58